An optimized crystal structure of Nd3Tl2Sn, computed with PBE.

Cell: 5.192 15.535 4.370 Å, 90.00 90.00 90.00°
Fractional coordinates of all 12 atoms:
Nd1 0.250 0.087 0.001
Nd2 0.250 0.413 0.001
Nd3 0.250 0.750 0.999
Nd4 0.750 0.250 0.001
Nd5 0.750 0.587 0.999
Nd6 0.750 0.913 0.999
Tl1 0.250 0.579 0.500
Tl2 0.250 0.921 0.500
Tl3 0.750 0.079 0.500
Tl4 0.750 0.421 0.500
Sn1 0.250 0.250 0.501
Sn2 0.750 0.750 0.499

DOS at the Fermi energy	0.67	states/eV/atom
volume	176	Å³/f.u.
calculated density	9.0	g/cm3
energy	-4.3339	eV/atom